Density functional theory data (PBE) for crystalline Ca2NiPb at its relaxed geometry.

Output
energy relative to the elements: -0.225 eV/atom

Cell lengths 4.457, 4.578, 5.900 Å; angles 67.14, 90.00, 90.00 degrees
Fractional coordinates of all 4 atoms:
1 Pb 0.500 0.564 0.746
2 Ni 0.000 0.692 0.493
3 Ca 0.500 0.267 0.341
4 Ca 0.000 0.977 0.921

***

Density functional theory data (PBE) for crystalline RbTiW2 at its relaxed geometry.

Output
energy relative to the elements: 1.992 eV/atom

Cell lengths 4.742, 4.742, 9.997 Å; angles 76.28, 76.28, 90.00 degrees
Fractional coordinates of all 8 atoms:
1 W 0.462 0.625 0.250
2 W 0.288 0.125 0.250
3 W 0.375 0.712 0.750
4 W 0.875 0.538 0.750
5 Rb 0.000 0.000 0.000
6 Rb 0.750 0.250 0.500
7 Ti 0.250 0.750 0.500
8 Ti 0.500 0.500 0.000

***

Density functional theory data (PBE) for crystalline Sr2YPW at its relaxed geometry.

Output
energy relative to the elements: 1.451 eV/atom

Cell lengths 6.459, 5.065, 6.459 Å; angles 90.00, 90.00, 90.00 degrees
Last column: magnetic moment on the atom in μB.
Fractional coordinates of all 5 atoms:
1 W 0.500 0.500 0.500  3.27
2 P 0.000 0.500 0.000  0.03
3 Sr 0.500 0.000 0.000  -0.05
4 Sr 0.000 0.000 0.500  -0.09
5 Y 0.000 0.000 0.000  -0.34

***

Density functional theory data (PBE) for crystalline Y8CdPd2 at its relaxed geometry.

Output
energy relative to the elements: -0.281 eV/atom

Cell lengths 5.510, 8.085, 8.085 Å; angles 114.80, 98.05, 98.05 degrees
Last column: magnetic moment on the atom in μB.
Fractional coordinates of all 11 atoms:
1 Y 0.000 0.761 0.245  0.02
2 Y 0.583 0.332 0.083  0.06
3 Y 0.416 0.923 0.674  0.05
4 Y 0.583 0.083 0.332  0.06
5 Y 0.191 0.391 0.391  0.05
6 Y 0.809 0.615 0.615  0.05
7 Y 0.000 0.245 0.761  0.02
8 Y 0.416 0.674 0.923  0.05
9 Pd 0.500 0.698 0.308  0.01
10 Pd 0.500 0.308 0.698  0.01
11 Cd 0.001 0.003 0.003  0.00

***

Density functional theory data (PBE) for crystalline PmSnTe2 at its relaxed geometry.

Output
ΔE_f (raw): -0.72 eV per atom

Cell lengths 3.978, 5.411, 5.411 Å; angles 90.00, 90.00, 90.00 degrees
Fractional coordinates of all 4 atoms:
1 Sn 0.500 0.500 0.500
2 Te 0.000 0.000 0.500
3 Te 0.000 0.500 0.000
4 Pm 0.500 0.000 0.000

***

Density functional theory data (PBE) for crystalline BeIn2Ru at its relaxed geometry.

Output
energy relative to the elements: 0.019 eV/atom

Cell lengths 3.132, 3.132, 7.137 Å; angles 90.00, 90.00, 90.01 degrees
Fractional coordinates of all 4 atoms:
1 Ru 0.000 0.000 0.566
2 Be 0.500 0.500 0.671
3 In 0.500 0.500 0.308
4 In 0.000 0.000 0.954

***

Density functional theory data (PBE) for crystalline La2Pm6In at its relaxed geometry.

Output
energy relative to the elements: -0.090 eV/atom

Cell lengths 9.236, 10.531, 6.739 Å; angles 79.64, 95.76, 72.56 degrees
Fractional coordinates of all 18 atoms:
1 In 0.092 0.249 0.836
2 In 0.908 0.751 0.164
3 Pm 0.145 0.563 0.921
4 Pm 0.820 0.085 0.068
5 Pm 0.855 0.875 0.643
6 Pm 0.522 0.442 0.768
7 Pm 0.544 0.893 0.279
8 Pm 0.456 0.107 0.721
9 Pm 0.855 0.437 0.079
10 Pm 0.187 0.438 0.463
11 Pm 0.478 0.558 0.232
12 Pm 0.813 0.562 0.537
13 Pm 0.180 0.915 0.932
14 Pm 0.145 0.125 0.357
15 La 0.579 0.757 0.830
16 La 0.785 0.228 0.522
17 La 0.421 0.243 0.170
18 La 0.215 0.772 0.478

***

Density functional theory data (PBE) for crystalline V3CrRe2 at its relaxed geometry.

Output
energy relative to the elements: -0.283 eV/atom

Cell lengths 3.003, 3.003, 9.004 Å; angles 90.00, 90.00, 90.00 degrees
Fractional coordinates of all 6 atoms:
1 Re 0.500 0.500 0.170
2 Re 0.500 0.500 0.830
3 V 0.000 0.000 0.659
4 V 0.000 0.000 0.341
5 V 0.000 0.000 0.000
6 Cr 0.500 0.500 0.500

***

Density functional theory data (PBE) for crystalline Na2PPt2 at its relaxed geometry.

Output
energy relative to the elements: -0.391 eV/atom

Cell lengths 6.188, 6.188, 4.946 Å; angles 90.00, 90.00, 90.00 degrees
Fractional coordinates of all 10 atoms:
1 Pt 0.657 0.157 0.000
2 Pt 0.343 0.843 0.000
3 Pt 0.157 0.343 0.000
4 Pt 0.843 0.657 0.000
5 P 0.500 0.500 0.000
6 P 0.000 0.000 0.000
7 Na 0.832 0.332 0.500
8 Na 0.332 0.168 0.500
9 Na 0.168 0.668 0.500
10 Na 0.668 0.832 0.500

***

Density functional theory data (PBE) for crystalline CeHfBi2 at its relaxed geometry.

Output
energy relative to the elements: 0.111 eV/atom

Cell lengths 3.358, 3.358, 11.857 Å; angles 81.86, 81.86, 60.00 degrees
Last column: magnetic moment on the atom in μB.
Fractional coordinates of all 4 atoms:
1 Bi 0.914 0.914 0.259  0.00
2 Bi 0.086 0.086 0.741  0.00
3 Hf 0.000 0.000 0.000  0.15
4 Ce 0.500 0.500 0.500  0.53

***

Density functional theory data (PBE) for crystalline ZrGaS2 at its relaxed geometry.

Output
ΔE_f (raw): -0.68 eV per atom

Cell lengths 6.512, 6.512, 7.100 Å; angles 62.70, 62.70, 90.00 degrees
Last column: magnetic moment on the atom in μB.
Fractional coordinates of all 8 atoms:
1 S 0.070 0.625 0.250  0.00
2 S 0.875 0.930 0.750  0.00
3 S 0.375 0.320 0.750  0.00
4 S 0.680 0.125 0.250  0.00
5 Zr 0.750 0.250 0.500  0.07
6 Zr 0.000 0.000 0.000  0.07
7 Ga 0.500 0.500 0.000  0.00
8 Ga 0.250 0.750 0.500  0.00

***

Density functional theory data (PBE) for crystalline Ba3Ac3HoS8 at its relaxed geometry.

Output
ΔE_f (raw): -2.07 eV per atom

Cell lengths 8.644, 8.643, 8.871 Å; angles 119.16, 90.00, 120.00 degrees
Fractional coordinates of all 15 atoms:
1 S 0.745 0.489 0.734
2 S 0.239 0.013 0.287
3 S 0.226 0.452 0.713
4 S 0.774 0.548 0.287
5 S 0.761 0.987 0.713
6 S 0.255 0.511 0.266
7 S 0.774 0.013 0.287
8 S 0.226 0.987 0.713
9 Ho 0.000 0.000 0.500
10 Ba 0.000 0.500 0.000
11 Ba 0.500 0.500 0.000
12 Ba 0.000 0.000 0.000
13 Ac 0.000 0.500 0.500
14 Ac 0.500 0.000 0.500
15 Ac 0.500 0.500 0.500

***

no.,DOS(E_F) (states/eV/cell),M_tot (μB/atom)
1,2.44,0.000
2,11.61,0.000
3,2.30,0.724
4,16.29,0.064
5,2.86,0.001
6,1.02,0.000
7,20.64,0.000
8,3.10,0.000
9,5.03,0.000
10,7.64,0.229
11,8.14,0.032
12,5.64,0.000